No. 1
The following is a GGA-PBE calculation of VHN3 after structural relaxation, from the Alexandria database.

abc: 3.803 3.803 3.803
angles: 90.00 90.00 90.00
Sites, in units of the cell vectors:
V: 0.000 0.000 0.000
H: 0.500 0.500 0.500
N: 0.000 0.000 0.500
N: 0.000 0.500 0.000
N: 0.500 0.000 0.000

space group: Pm-3m
magnetization: 2.30 Bohr magnetons per cell
uncorrected energy: -6.09 eV/atom



No. 2
The following is a GGA-PBE calculation of V4H2N after structural relaxation, from the Alexandria database.

abc: 5.006 5.217 9.700
angles: 90.00 90.00 90.00
Sites, in units of the cell vectors:
V: 0.140 0.037 0.195
V: 0.140 0.463 0.695
V: 0.166 0.176 0.447
V: 0.166 0.324 0.947
V: 0.334 0.676 0.447
V: 0.334 0.824 0.947
V: 0.360 0.537 0.195
V: 0.360 0.963 0.695
V: 0.640 0.037 0.305
V: 0.640 0.463 0.805
V: 0.666 0.176 0.053
V: 0.666 0.324 0.553
V: 0.834 0.676 0.053
V: 0.834 0.824 0.553
V: 0.860 0.537 0.305
V: 0.860 0.963 0.805
H: 0.024 0.098 0.640
H: 0.024 0.402 0.140
H: 0.476 0.598 0.640
H: 0.476 0.902 0.140
H: 0.524 0.098 0.860
H: 0.524 0.402 0.360
H: 0.976 0.598 0.860
H: 0.976 0.902 0.360
N: 0.000 0.000 0.000
N: 0.000 0.500 0.500
N: 0.500 0.000 0.500
N: 0.500 0.500 0.000

space group: Pbca
magnetization: 0.00 Bohr magnetons per cell
uncorrected energy: -7.85 eV/atom